The following is a DFT calculation (GGA+U) of a geometry-optimized CdCoO2 structure.

Cell and atoms, written as POSCAR:
```
CdCoO2
1.0
8.032 -1.466 0.000
8.032 1.466 0.000
-0.897 0.000 4.802
Cd Co O
2 2 4
Direct
0.173 0.173 0.477
0.827 0.827 0.523
0.002 0.998 0.000
0.502 0.498 0.500
0.064 0.062 0.697
0.438 0.434 0.794
0.566 0.562 0.206
0.938 0.936 0.303
```

Computed properties:
Final energy, eV per atom: -4.7855
DOS(E_F), states/eV/cell: 0.1